(1)
The following is a PBE calculation of a relaxed Ni2GeTe crystal, from Alexandria via LeMat-Bulk.

Structure (POSCAR):
```
Ni2GeTe
1.0
-3.8805 0.8046 0.3523
-2.3762 -0.2377 -3.1823
-0.9324 -4.9650 1.0672
Ni Ge Te
2 1 1
Direct
0.5321 0.5321 0.2416 Ni
0.8655 0.8655 0.5017 Ni
0.1987 0.1987 0.2781 Ge
0.5320 0.5320 0.7505 Te
```

## Properties
The energy relative to the elements, uncorrected is -0.168 eV per atom. The value obtained for the total energy is -5.00 eV/atom. Its space group is P3m1 (156). For the polymorph energy (0 for the lowest one), the calculation gives 0.000 eV per atom. The calculated volume comes out at 70.80 Å³ per cell.

---

(2)
The following is a PBE calculation of a relaxed Tl2NiGeTe crystal, from Alexandria via LeMat-Bulk.

Structure (POSCAR):
```
Tl2NiGeTe
1.0
5.6452 0.0000 0.0000
0.0000 4.4626 0.0000
0.0000 0.0000 5.6452
Ni Tl Te Ge
1 2 1 1
Direct
0.0000 0.5000 0.0000 Ni
0.0000 0.0000 0.5000 Tl
0.5000 0.0000 0.0000 Tl
0.5000 0.5000 0.5000 Te
0.0000 0.0000 0.0000 Ge
```

## Properties
The energy relative to the elements, uncorrected is 0.337 eV per atom. The value obtained for the total energy is -3.32 eV/atom. Its space group is P4/mmm (123). The calculated volume comes out at 142.22 Å³ per cell.

---

(3)
The following is a PBE calculation of a relaxed ZnNiGe2Te crystal, from Alexandria via LeMat-Bulk.

Structure (POSCAR):
```
ZnNiGe2Te
1.0
4.5057 0.0000 0.0000
0.0000 5.4719 0.0000
0.0000 0.0000 4.5057
Ni Ge Te Zn
1 2 1 1
Direct
0.0000 0.0000 0.0000 Ni
0.0000 0.0000 0.5000 Ge
0.5000 0.0000 0.0000 Ge
0.0000 0.5000 0.0000 Te
0.5000 0.5000 0.5000 Zn
```

## Properties
The energy relative to the elements, uncorrected is 0.251 eV per atom. The value obtained for the total energy is -3.64 eV/atom. Its space group is P4/mmm (123). The calculated volume comes out at 111.09 Å³ per cell.

---

(4)
The following is a PBE calculation of a relaxed Th2Ni15Ge2 crystal, from Alexandria via LeMat-Bulk.

Structure (POSCAR):
```
Th2Ni15Ge2
1.0
6.3655 -0.0017 -0.0015
0.8242 6.3119 -0.0015
0.8242 0.7233 6.2703
Th Ni Ge
2 15 2
Direct
0.3491 0.3491 0.3491 Th
0.6509 0.6509 0.6509 Th
0.5000 0.0000 0.0000 Ni
0.0000 0.0000 0.5000 Ni
0.0000 0.5000 0.0000 Ni
0.0000 0.6976 0.3024 Ni
0.6976 0.3024 0.0000 Ni
0.3024 0.0000 0.6976 Ni
0.3024 0.6976 0.0000 Ni
0.6976 0.0000 0.3024 Ni
0.0000 0.3024 0.6976 Ni
0.1560 0.6573 0.6573 Ni
0.6573 0.6573 0.1560 Ni
0.6573 0.1560 0.6573 Ni
0.8440 0.3427 0.3427 Ni
0.3427 0.3427 0.8440 Ni
0.3427 0.8440 0.3427 Ni
0.1030 0.1030 0.1030 Ge
0.8970 0.8970 0.8970 Ge
```

## Properties
The value obtained for the total energy is -6.12 eV/atom. As for the formation energy: -0.29 eV/atom. Its space group is R-3m (166). The calculated volume comes out at 251.96 Å³ per cell.

---

(5)
The following is a PBE calculation of a relaxed Th2Ni5Ge3 crystal, from Alexandria via LeMat-Bulk.

Structure (POSCAR):
```
Th2Ni5Ge3
1.0
-2.5122 -2.8124 1.3883
1.8254 0.1353 3.5774
-6.6313 7.4547 3.1016
Th Ni Ge
2 5 3
Direct
0.5000 0.0000 0.2127 Th
0.0000 0.5000 0.7873 Th
0.5000 0.5000 0.0000 Ni
0.0000 0.0000 0.0000 Ni
0.5000 0.0000 0.8649 Ni
0.0000 0.5000 0.1351 Ni
0.5000 0.5000 0.5000 Ni
0.5000 0.0000 0.6440 Ge
0.0000 0.5000 0.3560 Ge
0.0000 0.0000 0.5000 Ge
```

## Properties
The value obtained for the total energy is -6.17 eV/atom. As for the formation energy: -0.41 eV/atom. Its space group is P-4m2 (115). For the polymorph energy (0 for the lowest one), the calculation gives 0.071 eV per atom. The calculated volume comes out at 168.72 Å³ per cell.

---

(6)
The following is a PBE calculation of a relaxed ThNi4Ge2 crystal, from Alexandria via LeMat-Bulk.

Structure (POSCAR):
```
ThNi4Ge2
1.0
-0.6276 1.3438 3.7920
1.3885 -2.1394 3.1740
6.7072 3.5185 2.0492
Th Ni Ge
1 4 2
Direct
0.0000 0.0000 0.0000 Th
0.4403 0.4403 0.6791 Ni
0.1407 0.1407 0.5780 Ni
0.5597 0.5597 0.3209 Ni
0.8593 0.8593 0.4220 Ni
0.2460 0.2460 0.2619 Ge
0.7540 0.7540 0.7381 Ge
```

## Properties
The value obtained for the total energy is -6.15 eV/atom. As for the formation energy: -0.47 eV/atom. Its space group is R-3m (166). For the polymorph energy (0 for the lowest one), the calculation gives 0.000 eV per atom. The calculated volume comes out at 107.48 Å³ per cell.